Entry 1:
The following is a DFT calculation (PBE) of an optimized crystal structure of PmTlRu.

Summary:
VASP energy, eV per formula unit: -16.3
Energy above the lowest structure with this stoichiometry, meV per atom: 65
Formation energy, kJ/mol of formula units: 11
Magnetic moment, μB/f.u.: 0.0

a = 13.5824 Å, b = 13.5824 Å, c = 13.5824 Å
α = 165.94°, β = 165.94°, γ = 19.93°
Closest atoms and distances in Å follow each position.
Fractional coordinates of all 6 atoms:
Pm 0.1523 0.1523 0.0000  5 Ru 3.13-3.16, 4 Pm 3.32
Pm 0.8477 0.8477 0.0000  5 Ru 3.13-3.16, 4 Pm 3.32
Tl 0.4447 0.4447 0.0000  1 Tl 2.96
Tl 0.5553 0.5553 0.0000  1 Tl 2.96
Ru 0.2706 0.2706 0.0000  4 Ru 2.60
Ru 0.7294 0.7294 0.0000  4 Ru 2.60



Entry 2:
The following is a DFT calculation (PBE) of an optimized crystal structure of BaCe2Lu.

Summary:
VASP energy, eV per formula unit: -16.9
Formation energy, kJ/mol of formula units: 132
Magnetic moment, μB/f.u.: 1.8

a = 12.9527 Å, b = 12.9527 Å, c = 12.9527 Å
α = 15.56°, β = 15.56°, γ = 15.56°
Closest atoms and distances in Å follow each position.
Fractional coordinates of all 4 atoms:
Ba 0.0000 0.0000 0.0000  6 Ba 3.51, 2 Ce 3.56
Ce 0.0927 0.0927 0.0927  3 Lu 3.49, 6 Ce 3.51, 1 Ba 3.56
Ce 0.9073 0.9073 0.9073  3 Lu 3.49, 6 Ce 3.51, 1 Ba 3.56
Lu 0.5000 0.5000 0.5000  6 Ce 3.49, 6 Lu 3.51



Entry 3:
The following is a DFT calculation (PBE) of an optimized crystal structure of Hf7TlTe2.

Summary:
VASP energy, eV per formula unit: -73.5
Formation energy without anion corrections, kJ/mol of formula units: 465
Magnetic moment, μB/f.u.: 0.0

a = 8.1425 Å, b = 8.1425 Å, c = 4.9028 Å
α = 90.00°, β = 90.00°, γ = 120.71°
Closest atoms and distances in Å follow each position.
Fractional coordinates of all 10 atoms:
Hf 0.0000 0.0000 0.0000  2 Te 2.80, 4 Hf 3.04
Hf 0.2084 0.4346 0.0000  2 Te 2.85-3.04, 4 Hf 2.88-3.17
Hf 0.2884 0.7116 0.5000  2 Te 2.77, 1 Tl 3.00
Hf 0.4346 0.2084 0.0000  2 Te 2.85-3.04, 4 Hf 2.88-3.17
Hf 0.5654 0.7916 0.0000  2 Te 2.85-3.04, 4 Hf 2.88-3.17
Hf 0.7116 0.2884 0.5000  2 Te 2.77, 1 Tl 3.00
Hf 0.7916 0.5654 0.0000  2 Te 2.85-3.04, 4 Hf 2.88-3.17
Tl 0.5000 0.5000 0.5000  10 Hf 3.00-3.26
Te 0.1977 0.8023 0.0000  7 Hf 2.77-3.04
Te 0.8023 0.1977 0.0000  7 Hf 2.77-3.04



Entry 4:
The following is a DFT calculation (PBE) of an optimized crystal structure of ZrSF.

Summary:
VASP energy, eV per formula unit: -21.7
Formation energy without anion corrections, kJ/mol of formula units: -687
Magnetic moment, μB/f.u.: 0.0

a = 3.5564 Å, b = 5.0533 Å, c = 6.8804 Å
α = 90.00°, β = 90.00°, γ = 90.00°
Closest atoms and distances in Å follow each position.
Fractional coordinates of all 6 atoms:
Zr 0.2500 0.2500 0.1168  2 F 2.16
Zr 0.7500 0.7500 0.8832  2 F 2.16
S 0.2500 0.7500 0.1659  4 Zr 2.55-2.64
S 0.7500 0.2500 0.8341  4 Zr 2.55-2.64
F 0.2500 0.7500 0.7039  2 Zr 2.16
F 0.7500 0.2500 0.2961  2 Zr 2.16



Entry 5:
The following is a DFT calculation (PBE) of an optimized crystal structure of Nb2NiPd4.

Summary:
VASP energy, eV per formula unit: -46.1
Energy above the lowest structure with this stoichiometry, meV per atom: 0
Formation energy, kJ/mol of formula units: 60
Magnetic moment, μB/f.u.: 0.0

a = 8.3725 Å, b = 8.3725 Å, c = 8.3725 Å
α = 140.85°, β = 140.85°, γ = 56.56°
Closest atoms and distances in Å follow each position.
Fractional coordinates of all 14 atoms:
Nb 0.1815 0.6815 0.8630  2 Pd 2.57, 1 Nb 2.88
Nb 0.3185 0.1815 0.5000  2 Pd 2.57, 1 Nb 2.88
Nb 0.6815 0.8185 0.5000  2 Pd 2.57, 1 Nb 2.88
Nb 0.8185 0.3185 0.1370  2 Pd 2.57, 1 Nb 2.88
Ni 0.2500 0.2500 0.0000  8 Pd 2.51
Ni 0.7500 0.7500 0.0000  8 Pd 2.51
Pd 0.0152 0.1742 0.5000  2 Ni 2.51, 1 Nb 2.57, 1 Pd 2.71
Pd 0.1742 0.6742 0.1590  2 Ni 2.51, 1 Nb 2.57, 1 Pd 2.71
Pd 0.3258 0.4848 0.5000  2 Ni 2.51, 1 Nb 2.57, 1 Pd 2.71
Pd 0.4848 0.9848 0.1590  2 Ni 2.51, 1 Nb 2.57, 1 Pd 2.71
Pd 0.5152 0.0152 0.8410  2 Ni 2.51, 1 Nb 2.57, 1 Pd 2.71
Pd 0.6742 0.5152 0.5000  2 Ni 2.51, 1 Nb 2.57, 1 Pd 2.71
Pd 0.8258 0.3258 0.8410  2 Ni 2.51, 1 Nb 2.57, 1 Pd 2.71
Pd 0.9848 0.8258 0.5000  2 Ni 2.51, 1 Nb 2.57, 1 Pd 2.71